Density functional theory data (PBE) for crystalline CsAlPb2 at its relaxed geometry.

POSCAR file:
```
CsAlPb2
1.0
5.284 0.000 0.000
-2.638 7.411 0.000
-0.004 -0.034 7.922
Cs Al Pb
2 2 4
Direct
0.250 0.001 0.272
0.750 0.999 0.728
0.254 0.507 0.500
0.746 0.493 0.500
0.066 0.633 0.816
0.432 0.367 0.814
0.568 0.633 0.186
0.934 0.367 0.184
```

**Symmetry**: P-1 (2)
**Energy**: -3.03 eV/atom
**Energy of formation from the pure elements**: -0.03 eV per atom


Density functional theory data (PBE) for crystalline CsAlPb2 at its relaxed geometry.

POSCAR file:
```
CsAlPb2
1.0
4.591 0.000 0.000
-0.024 8.147 0.000
-2.256 -0.557 8.517
Cs Al Pb
2 2 4
Direct
0.000 0.000 0.000
0.266 0.111 0.535
0.376 0.674 0.757
0.802 0.729 0.609
0.188 0.556 0.385
0.520 0.487 0.050
0.642 0.806 0.290
0.887 0.425 0.784
```

**Symmetry**: P1 (1)
**Energy**: -3.00 eV/atom
**Energy of formation from the pure elements**: 0.01 eV per atom


> Number 1 is which compound?

CsAlPb2